VASP calculation (PBE+U) on a relaxed structure of ScNi3F.

Lattice parameters (Å, degrees): 4.198 4.198 4.198 90.00 90.00 90.00
Each line ends with the local moment (μB).
Positions (direct):
Ni1 0.000 0.000 0.500  0.96
Ni2 0.500 0.000 0.000  0.89
Ni3 0.000 0.500 0.000  0.88
F1 0.000 0.000 0.000  0.01
Sc1 0.500 0.500 0.500  -0.37

Summary:
SG = Pm-3m
uncorrected energy = -15.1 eV/cell
energy relative to the lowest polymorph listed for this composition = 0 meV/atom